Below is an optimized crystal structure of TbCeTm2P4, with properties calculated at the PBE level.

CIF file:
```
data_TbCeTm2P4
_space_group_name_H-M_alt 'P 1 2/m 1'
_space_group_IT_number 10
_space_group_name_Hall '-P 2y'
_cell_length_a 6.917
_cell_length_b 4.004
_cell_length_c 6.928
_cell_angle_alpha 90.00
_cell_angle_beta 109.43
_cell_angle_gamma 90.00
loop_
_atom_site_label
_atom_site_fract_x
_atom_site_fract_y
_atom_site_fract_z
Tb1 0.000 0.000 0.000
Ce1 0.000 0.500 0.500
Tm1 0.500 0.000 0.500
Tm2 0.500 0.500 0.000
P1 0.255 0.500 0.252
P2 0.256 0.000 0.753
```

Its volume is 180.94 Å³/cell. The density of states at the Fermi level is 0.6693 states/eV/atom. The formation energy comes out at -1.582 eV/atom. The calculation puts the total energy at -6.7252 eV/atom.